[1]
Here is Rb5Hg4Au4 after structural relaxation from the Alexandria database. Energies are from PBE-GGA.

a = 13.4979 Å, b = 13.4979 Å, c = 4.9664 Å
α = 90.00°, β = 90.00°, γ = 90.00°
Space group I4/m (No. 87)
Symmetry-distinct sites (fractional):
Rb: 0.0000 0.0000 0.0000
Rb: 0.1352 0.2134 0.5000
Hg: 0.0801 0.6110 0.5000
Au: 0.0489 0.7390 0.0000

=====

[2]
Here is CuP2Ir after structural relaxation from the Alexandria database. Energies are from PBE-GGA.

a = 5.4637 Å, b = 6.6254 Å, c = 2.9945 Å
α = 90.00°, β = 90.00°, γ = 90.00°
Space group Cmmm (No. 65)
Symmetry-distinct sites (fractional):
Cu: 0.0000 0.0000 0.0000
P: 0.2500 0.2500 0.5000
Ir: 0.0000 0.5000 0.0000

## Properties
Distance to the lowest polymorph of the same formula ... 0.372 eV/atom

=====

Calculated ΔH_f (0 K), -0.230 0.224 eV per atom (same order as the records).
Calculated N(E_F), 8.609 3.427 states/eV per cell (same order as the records).